[1]
DFT (PBE) results for crystalline RbHfZr at its relaxed geometry.

Calculated values
offset from the most stable computed form	397.1	meV per atom

a b c (Å): 5.0627 5.0627 5.0627
angles (deg): 60.00 60.00 60.00
Fractional positions:
Rb 0.0000 0.0000 0.0000
Hf 0.7500 0.7500 0.7500
Zr 0.2500 0.2500 0.2500


[2]
DFT (PBE) results for crystalline HfRe at its relaxed geometry.

Calculated values
DFT formation energy	242	meV per atom

a b c (Å): 3.1335 3.1335 4.2584
angles (deg): 90.00 90.00 120.00
Fractional positions:
Hf 0.0000 0.0000 0.0000
Re 0.6667 0.3333 0.5000


[3]
DFT (PBE) results for crystalline Hf2Re at its relaxed geometry.

Calculated values
DFT formation energy	2332	meV per atom

a b c (Å): 7.9507 7.9507 7.9507
angles (deg): 60.00 60.00 60.00
Fractional positions:
Hf 0.0000 0.0000 0.0000
Hf 0.0000 0.0000 0.5000
Hf 0.0000 0.5000 0.0000
Hf 0.5000 0.0000 0.0000
Re 0.1250 0.1250 0.1250
Re 0.8750 0.8750 0.8750


[4]
DFT (PBE) results for crystalline HfRe at its relaxed geometry.

Calculated values
DFT formation energy	2174	meV per atom

a b c (Å): 4.2423 4.2423 4.2423
angles (deg): 60.00 60.00 60.00
Fractional positions:
Hf 0.0000 0.0000 0.0000
Re 0.7500 0.7500 0.7500


[5]
DFT (PBE) results for crystalline Hf5Re24 at its relaxed geometry.

Calculated values
DFT formation energy	-260	meV per atom

a b c (Å): 8.4360 8.4360 8.4360
angles (deg): 109.47 109.47 109.47
Fractional positions:
Hf 0.0000 0.0000 0.0000
Hf 0.0000 0.0000 0.3713
Hf 0.0000 0.3713 0.0000
Hf 0.3713 0.0000 0.0000
Hf 0.6287 0.6287 0.6287
Re 0.0000 0.3235 0.6044
Re 0.0000 0.6044 0.3235
Re 0.0000 0.6240 0.8061
Re 0.0000 0.8061 0.6240
Re 0.1821 0.3760 0.3760
Re 0.1939 0.1939 0.8179
Re 0.1939 0.8179 0.1939
Re 0.2809 0.6765 0.6765
Re 0.3235 0.0000 0.6044
Re 0.3235 0.6044 0.0000
Re 0.3760 0.1821 0.3760
Re 0.3760 0.3760 0.1821
Re 0.3956 0.3956 0.7191
Re 0.3956 0.7191 0.3956
Re 0.6044 0.0000 0.3235
Re 0.6044 0.3235 0.0000
Re 0.6240 0.0000 0.8061
Re 0.6240 0.8061 0.0000
Re 0.6765 0.2809 0.6765
Re 0.6765 0.6765 0.2809
Re 0.7191 0.3956 0.3956
Re 0.8061 0.0000 0.6240
Re 0.8061 0.6240 0.0000
Re 0.8179 0.1939 0.1939


[6]
DFT (PBE) results for crystalline Hf2Re at its relaxed geometry.

Calculated values
DFT formation energy	745	meV per atom

a b c (Å): 5.4499 5.4499 5.4499
angles (deg): 60.00 60.00 60.00
Fractional positions:
Hf 0.0000 0.0000 0.0000
Hf 0.0000 0.0000 0.5000
Hf 0.0000 0.5000 0.0000
Hf 0.5000 0.0000 0.0000
Re 0.3750 0.3750 0.3750
Re 0.6250 0.6250 0.6250


[7]
DFT (PBE) results for crystalline HfRe at its relaxed geometry.

Calculated values
DFT formation energy	835	meV per atom

a b c (Å): 3.8406 3.8406 3.8406
angles (deg): 60.00 60.00 60.00
Fractional positions:
Hf 0.0000 0.0000 0.0000
Re 0.5000 0.5000 0.5000


[8]
DFT (PBE) results for crystalline HfReSb2 at its relaxed geometry.

Calculated values
offset from the most stable computed form	249.7	meV per atom

a b c (Å): 4.8863 4.8863 4.8863
angles (deg): 60.00 60.00 60.00
Fractional positions:
Hf 0.0000 0.0000 0.0000
Re 0.7500 0.7500 0.7500
Sb 0.2500 0.2500 0.2500
Sb 0.5000 0.5000 0.5000